Entry 1:
KBa2Al2: optimized geometry, PBE.

Lattice parameters (Å, degrees): 10.013 10.013 3.805 90.00 90.00 90.00
Space group P4/mbm (No. 127)
Unique sites:
K1 0.000 0.000 0.000 x2
Ba1 0.182 0.318 0.000 x4
Al1 0.103 0.603 0.500 x4

Calculated values
Relative energy among the computed polymorphs, meV per atom: 54
Total moment, Bohr magnetons per cell: 0.00
Density, g cm⁻³: 3.2
Energy of formation from the pure elements, eV/atom: 0.10

Entry 2:
KBaAl2: optimized geometry, PBE.

Lattice parameters (Å, degrees): 9.455 9.455 6.493 90.00 90.00 90.00
Space group I-42d (No. 122)
Unique sites:
K1 0.000 0.000 0.000 x4
Ba1 0.000 0.000 0.500 x4
Al1 0.249 0.250 0.125 x8

Calculated values
Relative energy among the computed polymorphs, meV per atom: 508
Total moment, Bohr magnetons per cell: 0.00
Density, g cm⁻³: 2.6
Energy of formation from the pure elements, eV/atom: 0.49

Entry 3:
K2BaAl: optimized geometry, PBE.

Lattice parameters (Å, degrees): 12.370 4.376 8.651 90.00 112.70 90.00
Space group Cm (No. 8)
Unique sites:
K1 0.000 0.000 0.000 x2
K2 0.185 0.000 0.697 x2
Ba1 0.360 0.000 0.353 x2
Al1 0.145 0.500 0.350 x2

Calculated values
Total moment, Bohr magnetons per cell: 0.00
Density, g cm⁻³: 1.9
Energy of formation from the pure elements, eV/atom: 0.20

Entry 4:
KBa2Al: optimized geometry, PBE.

Lattice parameters (Å, degrees): 7.739 4.436 13.038 90.00 100.72 90.00
Space group C2/m (No. 12)
Unique sites:
K1 0.000 0.000 0.000 x2
Ba1 0.225 0.000 0.681 x4
Al1 0.000 0.500 0.500 x2

Calculated values
Total moment, Bohr magnetons per cell: 0.00
Density, g cm⁻³: 2.6
Energy of formation from the pure elements, eV/atom: 0.09

Entry 5:
KBaAl: optimized geometry, PBE.

Lattice parameters (Å, degrees): 8.404 8.404 8.404 90.00 90.00 90.00
Space group F-43m (No. 216)
Unique sites:
K1 0.000 0.000 0.000 x4
Ba1 0.000 0.000 0.500 x4
Al1 0.250 0.250 0.750 x4

Calculated values
Relative energy among the computed polymorphs, meV per atom: 381
Total moment, Bohr magnetons per cell: 6.72
Density, g cm⁻³: 2.3
Energy of formation from the pure elements, eV/atom: 0.25

Entry 6:
K2BaAl: optimized geometry, PBE.

Lattice parameters (Å, degrees): 6.259 6.268 8.873 90.00 90.00 90.00
Space group Imm2 (No. 44)
Unique sites:
K1 0.000 0.000 0.000 x2
K2 0.000 0.500 0.250 x2
Ba1 0.000 0.000 0.500 x2
Al1 0.000 0.500 0.749 x2

Calculated values
Total moment, Bohr magnetons per cell: 1.94
Density, g cm⁻³: 2.3
Energy of formation from the pure elements, eV/atom: 0.22

Entry 7:
K2BaAl: optimized geometry, PBE.

Lattice parameters (Å, degrees): 19.412 4.061 5.741 90.00 107.14 90.00
Space group C2/m (No. 12)
Unique sites:
K1 0.167 0.000 0.166 x4
Ba1 0.000 0.000 0.500 x2
Al1 0.000 0.500 0.000 x2

Calculated values
Total moment, Bohr magnetons per cell: 0.00
Density, g cm⁻³: 1.9
Energy of formation from the pure elements, eV/atom: 0.15

Entry 8:
K2BaAl: optimized geometry, PBE.

Lattice parameters (Å, degrees): 5.354 5.354 12.900 90.00 90.00 90.00
Space group I4/mmm (No. 139)
Unique sites:
K1 0.000 0.500 0.250 x4
Ba1 0.000 0.000 0.000 x2
Al1 0.000 0.000 0.500 x2

Calculated values
Total moment, Bohr magnetons per cell: 0.95
Density, g cm⁻³: 2.2
Energy of formation from the pure elements, eV/atom: 0.25

Entry 9:
KBa2Al: optimized geometry, PBE.

Lattice parameters (Å, degrees): 5.581 5.581 24.956 90.00 90.00 90.00
Space group I-42d (No. 122)
Unique sites:
K1 0.000 0.000 0.000 x4
Ba1 0.222 0.250 0.625 x8
Al1 0.000 0.000 0.500 x4

Calculated values
Total moment, Bohr magnetons per cell: 0.00
Density, g cm⁻³: 2.9
Energy of formation from the pure elements, eV/atom: 0.39

Entry 10:
KBaAl2: optimized geometry, PBE.

Lattice parameters (Å, degrees): 3.8263 3.8263 33.9783 90.00 90.00 120.00
Space group R-3m (No. 166, hexagonal axes)
Unique sites:
K1 0.0000 0.0000 0.0000 x3
Ba1 0.0000 0.0000 0.5000 x3
Al1 0.0000 0.0000 0.2477 x6

Calculated values
Relative energy among the computed polymorphs, meV per atom: 451
Total moment, Bohr magnetons per cell: 0.00
Density, g cm⁻³: 2.7
Energy of formation from the pure elements, eV/atom: 0.43

Entry 11:
KBaAl2: optimized geometry, PBE.

Lattice parameters (Å, degrees): 4.6418 4.6418 27.7117 90.00 90.00 120.00
Space group R3m (No. 160, hexagonal axes)
Unique sites:
K1 0.0000 0.0000 0.0000 x3
Ba1 0.0000 0.0000 0.1741 x3
Al1 0.0000 0.0000 0.4267 x3
Al2 0.0000 0.0000 0.7601 x3

Calculated values
Relative energy among the computed polymorphs, meV per atom: 0
Total moment, Bohr magnetons per cell: 0.01
Density, g cm⁻³: 2.2
Energy of formation from the pure elements, eV/atom: -0.02

Entry 12:
KBaAl: optimized geometry, PBE.

Lattice parameters (Å, degrees): 4.233 4.233 15.629 90.00 90.00 90.00
Space group I4mm (No. 107)
Unique sites:
K1 0.000 0.000 0.000 x2
Ba1 0.000 0.000 0.256 x2
Al1 0.000 0.000 0.645 x2

Calculated values
Relative energy among the computed polymorphs, meV per atom: 269
Total moment, Bohr magnetons per cell: 0.00
Density, g cm⁻³: 2.4
Energy of formation from the pure elements, eV/atom: 0.14